(1)
# RbAg4Se4, relaxed, DFT GGA-PBE
data_RbAg4Se4
_cell_length_a 9.3863
_cell_length_b 9.3863
_cell_length_c 5.3636
_cell_angle_alpha 90.00
_cell_angle_beta 90.00
_cell_angle_gamma 90.00
_symmetry_space_group_name_H-M 'I 4/m'
_symmetry_Int_Tables_number 87
_symmetry_space_group_name_Hall '-I 4'
loop_
_atom_site_label
_atom_site_type_symbol
_atom_site_fract_x
_atom_site_fract_y
_atom_site_fract_z
Rb1 Rb 0.0000 0.0000 0.0000
Ag1 Ag 0.1030 0.6977 0.5000
Se1 Se 0.1514 0.6701 0.0000
# * crystal system: tetragonal
# * energy relative to the elements, uncorrected: -2.2 eV per formula unit
# * D(E_F): 8.55 states/eV per cell

***

(2)
# Rb2Ag2Se, relaxed, DFT GGA-PBE
data_Rb2Ag2Se
_cell_length_a 6.8212
_cell_length_b 6.8212
_cell_length_c 7.7833
_cell_angle_alpha 90.00
_cell_angle_beta 90.00
_cell_angle_gamma 90.00
_symmetry_space_group_name_H-M 'I 4/m m m'
_symmetry_Int_Tables_number 139
_symmetry_space_group_name_Hall '-I 4 2'
loop_
_atom_site_label
_atom_site_type_symbol
_atom_site_fract_x
_atom_site_fract_y
_atom_site_fract_z
Rb1 Rb 0.0000 0.5000 0.2500
Ag1 Ag 0.0000 0.0000 0.1681
Se1 Se 0.0000 0.0000 0.5000
# * distance to the lowest polymorph of the same formula: 0.0 meV/atom
# * crystal system: tetragonal
# * energy relative to the elements, uncorrected: -1.7 eV per formula unit
# * D(E_F): 0.00 states/eV per cell

***

(3)
# RbAg2Se2, relaxed, DFT GGA-PBE
data_RbAg2Se2
_cell_length_a 5.2757
_cell_length_b 5.2757
_cell_length_c 11.2911
_cell_angle_alpha 90.00
_cell_angle_beta 90.00
_cell_angle_gamma 90.00
_symmetry_space_group_name_H-M 'I 4/m m m'
_symmetry_Int_Tables_number 139
_symmetry_space_group_name_Hall '-I 4 2'
loop_
_atom_site_label
_atom_site_type_symbol
_atom_site_fract_x
_atom_site_fract_y
_atom_site_fract_z
Rb1 Rb 0.0000 0.0000 0.0000
Ag1 Ag 0.0000 0.0000 0.2970
Se1 Se 0.0000 0.5000 0.2500
# * distance to the lowest polymorph of the same formula: 72.9 meV/atom
# * crystal system: tetragonal
# * energy relative to the elements, uncorrected: -1.8 eV per formula unit
# * D(E_F): 2.31 states/eV per cell

***

(4)
# RbAgSe5, relaxed, DFT GGA-PBE
data_RbAgSe5
_cell_length_a 7.0178
_cell_length_b 8.7443
_cell_length_c 9.4546
_cell_angle_alpha 81.92
_cell_angle_beta 69.32
_cell_angle_gamma 66.55
_symmetry_space_group_name_H-M 'P -1'
_symmetry_Int_Tables_number 2
_symmetry_space_group_name_Hall '-P 1'
loop_
_atom_site_label
_atom_site_type_symbol
_atom_site_fract_x
_atom_site_fract_y
_atom_site_fract_z
Rb1 Rb 0.0903 0.3197 0.2503
Ag1 Ag 0.5000 0.5000 0.0000
Ag2 Ag 0.5000 0.5000 0.5000
Se1 Se 0.0048 0.0465 0.6182
Se2 Se 0.2800 0.7516 0.8846
Se3 Se 0.3647 0.7701 0.2502
Se4 Se 0.4493 0.0454 0.8817
Se5 Se 0.4666 0.7524 0.6164
# * crystal system: triclinic
# * energy relative to the elements, uncorrected: -1.5 eV per formula unit

***

(5)
# RbAg2Se2, relaxed, DFT GGA-PBE
data_RbAg2Se2
_cell_length_a 8.5506
_cell_length_b 8.5506
_cell_length_c 3.2300
_cell_angle_alpha 90.00
_cell_angle_beta 90.00
_cell_angle_gamma 90.00
_symmetry_space_group_name_H-M 'P 4/m b m'
_symmetry_Int_Tables_number 127
_symmetry_space_group_name_Hall '-P 4 2ab'
loop_
_atom_site_label
_atom_site_type_symbol
_atom_site_fract_x
_atom_site_fract_y
_atom_site_fract_z
Rb1 Rb 0.0000 0.0000 0.0000
Ag1 Ag 0.1197 0.3803 0.0000
Se1 Se 0.1768 0.6768 0.5000
# * distance to the lowest polymorph of the same formula: 196.3 meV/atom
# * crystal system: tetragonal
# * energy relative to the elements, uncorrected: -1.2 eV per formula unit
# * D(E_F): 2.50 states/eV per cell

***

(6)
# Rb3AgSe2, relaxed, DFT GGA-PBE
data_Rb3AgSe2
_cell_length_a 7.6759
_cell_length_b 14.3652
_cell_length_c 9.0097
_cell_angle_alpha 90.00
_cell_angle_beta 90.00
_cell_angle_gamma 90.00
_symmetry_space_group_name_H-M 'I b a m'
_symmetry_Int_Tables_number 72
_symmetry_space_group_name_Hall '-I 2 2c'
loop_
_atom_site_label
_atom_site_type_symbol
_atom_site_fract_x
_atom_site_fract_y
_atom_site_fract_z
Rb1 Rb 0.0000 0.0000 0.2500
Rb2 Rb 0.0000 0.2724 0.2500
Ag1 Ag 0.0000 0.5000 0.0000
Se1 Se 0.2460 0.3815 0.0000
# * crystal system: orthorhombic
# * energy relative to the elements, uncorrected: -5.1 eV per formula unit

***

(7)
# Rb2Ag12Se7, relaxed, DFT GGA-PBE
data_Rb2Ag12Se7
_cell_length_a 10.9906
_cell_length_b 10.9906
_cell_length_c 4.6125
_cell_angle_alpha 90.00
_cell_angle_beta 90.00
_cell_angle_gamma 120.00
_symmetry_space_group_name_H-M 'P -3'
_symmetry_Int_Tables_number 147
_symmetry_space_group_name_Hall '-P 3'
loop_
_atom_site_label
_atom_site_type_symbol
_atom_site_fract_x
_atom_site_fract_y
_atom_site_fract_z
Rb1 Rb 0.3333 0.6667 0.2459
Ag1 Ag 0.0592 0.6614 0.7932
Ag2 Ag 0.1010 0.8552 0.3022
Se1 Se 0.0000 0.0000 0.0000
Se2 Se 0.1041 0.4218 0.7243
# * crystal system: trigonal
# * energy relative to the elements, uncorrected: -5.2 eV per formula unit
# * D(E_F): 3.88 states/eV per cell

***

(8)
# RbAgSe3, relaxed, DFT GGA-PBE
data_RbAgSe3
_cell_length_a 5.2894
_cell_length_b 10.7789
_cell_length_c 13.0074
_cell_angle_alpha 90.00
_cell_angle_beta 108.14
_cell_angle_gamma 90.00
_symmetry_space_group_name_H-M 'P 1 21/c 1'
_symmetry_Int_Tables_number 14
_symmetry_space_group_name_Hall '-P 2ybc'
loop_
_atom_site_label
_atom_site_type_symbol
_atom_site_fract_x
_atom_site_fract_y
_atom_site_fract_z
Rb1 Rb 0.0834 0.1971 0.4327
Ag1 Ag 0.3634 0.0198 0.8276
Se1 Se 0.0498 0.6120 0.8185
Se2 Se 0.2178 0.5343 0.4982
Se3 Se 0.4832 0.5276 0.8413
# * crystal system: monoclinic
# * energy relative to the elements, uncorrected: -2.0 eV per formula unit
# * D(E_F): 6.09 states/eV per cell

***

(9)
# Rb3AgSe2, relaxed, DFT GGA-PBE
data_Rb3AgSe2
_cell_length_a 8.2993
_cell_length_b 11.7918
_cell_length_c 10.9691
_cell_angle_alpha 90.00
_cell_angle_beta 110.39
_cell_angle_gamma 90.00
_symmetry_space_group_name_H-M 'P 1 21/c 1'
_symmetry_Int_Tables_number 14
_symmetry_space_group_name_Hall '-P 2ybc'
loop_
_atom_site_label
_atom_site_type_symbol
_atom_site_fract_x
_atom_site_fract_y
_atom_site_fract_z
Rb1 Rb 0.2134 0.0190 0.3848
Rb2 Rb 0.2475 0.0584 0.9819
Rb3 Rb 0.2832 0.7254 0.1870
Ag1 Ag 0.2136 0.1759 0.6732
Se1 Se 0.0329 0.6941 0.3765
Se2 Se 0.4548 0.0395 0.7270
# * crystal system: monoclinic
# * energy relative to the elements, uncorrected: -5.4 eV per formula unit
# * D(E_F): 0.00 states/eV per cell

***

(10)
# RbAgSe3, relaxed, DFT GGA-PBE
data_RbAgSe3
_cell_length_a 6.0447
_cell_length_b 6.0447
_cell_length_c 13.4809
_cell_angle_alpha 90.00
_cell_angle_beta 90.00
_cell_angle_gamma 120.00
_symmetry_space_group_name_H-M 'R 3 m'
_symmetry_Int_Tables_number 160
_symmetry_space_group_name_Hall 'R 3 -2"'
loop_
_atom_site_label
_atom_site_type_symbol
_atom_site_fract_x
_atom_site_fract_y
_atom_site_fract_z
Rb1 Rb 0.0000 0.0000 0.0000
Ag1 Ag 0.0000 0.0000 0.3868
Se1 Se 0.1676 0.3352 0.2192
# * crystal system: trigonal
# * energy relative to the elements, uncorrected: -1.2 eV per formula unit
# * D(E_F): 5.31 states/eV per cell

***

(11)
# RbAgSe3, relaxed, DFT GGA-PBE
data_RbAgSe3
_cell_length_a 5.2445
_cell_length_b 5.2445
_cell_length_c 5.2445
_cell_angle_alpha 90.00
_cell_angle_beta 90.00
_cell_angle_gamma 90.00
_symmetry_space_group_name_H-M 'P m -3 m'
_symmetry_Int_Tables_number 221
_symmetry_space_group_name_Hall '-P 4 2 3'
loop_
_atom_site_label
_atom_site_type_symbol
_atom_site_fract_x
_atom_site_fract_y
_atom_site_fract_z
Rb1 Rb 0.0000 0.0000 0.0000
Ag1 Ag 0.5000 0.5000 0.5000
Se1 Se 0.0000 0.5000 0.5000
# * crystal system: cubic
# * energy relative to the elements, uncorrected: -0.2 eV per formula unit
# * D(E_F): 7.00 states/eV per cell

***

(12)
# RbAgSe4, relaxed, DFT GGA-PBE
data_RbAgSe4
_cell_length_a 5.8890
_cell_length_b 5.8890
_cell_length_c 21.8876
_cell_angle_alpha 90.00
_cell_angle_beta 90.00
_cell_angle_gamma 90.00
_symmetry_space_group_name_H-M 'I 41/a m d'
_symmetry_Int_Tables_number 141
loop_
_symmetry_equiv_pos_as_xyz
'x,y,z'
'-x,-y,-z'
'-y+1/4,x+3/4,z+1/4'
'y+1/4,-x+3/4,-z+1/4'
'-x+1/2,-y,z+1/2'
'x+1/2,y,-z+1/2'
'y+1/4,-x+1/4,z+3/4'
'-y+1/4,x+1/4,-z+3/4'
'x,-y,-z'
'-x,y,z'
'-y+1/4,-x+1/4,-z+3/4'
'y+1/4,x+1/4,z+3/4'
'-x+1/2,y,-z+1/2'
'x+1/2,-y,z+1/2'
'y+1/4,x+3/4,-z+1/4'
'-y+1/4,-x+3/4,z+1/4'
'x+1/2,y+1/2,z+1/2'
'-x+1/2,-y+1/2,-z+1/2'
'-y+3/4,x+1/4,z+3/4'
'y+3/4,-x+1/4,-z+3/4'
'-x,-y+1/2,z'
'x,y+1/2,-z'
'y+3/4,-x+3/4,z+1/4'
'-y+3/4,x+3/4,-z+1/4'
'x+1/2,-y+1/2,-z+1/2'
'-x+1/2,y+1/2,z+1/2'
'-y+3/4,-x+3/4,-z+1/4'
'y+3/4,x+3/4,z+1/4'
'-x,y+1/2,-z'
'x,-y+1/2,z'
'y+3/4,x+1/4,-z+3/4'
'-y+3/4,-x+1/4,z+3/4'
loop_
_atom_site_label
_atom_site_type_symbol
_atom_site_fract_x
_atom_site_fract_y
_atom_site_fract_z
Rb1 Rb 0.0000 0.2500 0.3750
Ag1 Ag 0.0000 0.2500 0.8750
Se1 Se 0.0000 0.0539 0.2178
# * distance to the lowest polymorph of the same formula: 110.8 meV/atom
# * crystal system: tetragonal
# * energy relative to the elements, uncorrected: -1.6 eV per formula unit
# * D(E_F): 9.69 states/eV per cell

***

(13)
# RbAg3Se2, relaxed, DFT GGA-PBE
data_RbAg3Se2
_cell_length_a 16.8041
_cell_length_b 4.4478
_cell_length_c 9.0758
_cell_angle_alpha 90.00
_cell_angle_beta 113.82
_cell_angle_gamma 90.00
_symmetry_space_group_name_H-M 'C 1 2/m 1'
_symmetry_Int_Tables_number 12
_symmetry_space_group_name_Hall '-C 2y'
loop_
_atom_site_label
_atom_site_type_symbol
_atom_site_fract_x
_atom_site_fract_y
_atom_site_fract_z
Rb1 Rb 0.1365 0.0000 0.0489
Ag1 Ag 0.0571 0.0000 0.4017
Ag2 Ag 0.0914 0.5000 0.6428
Ag3 Ag 0.1877 0.5000 0.4347
Se1 Se 0.0186 0.5000 0.2169
Se2 Se 0.1976 0.0000 0.6965
# * crystal system: monoclinic
# * energy relative to the elements, uncorrected: -2.5 eV per formula unit
# * D(E_F): 2.36 states/eV per cell

***

(14)
# RbAg2Se2, relaxed, DFT GGA-PBE
data_RbAg2Se2
_cell_length_a 7.1215
_cell_length_b 12.1916
_cell_length_c 7.3234
_cell_angle_alpha 90.00
_cell_angle_beta 113.36
_cell_angle_gamma 90.00
_symmetry_space_group_name_H-M 'C 1 2/c 1'
_symmetry_Int_Tables_number 15
_symmetry_space_group_name_Hall '-C 2yc'
loop_
_atom_site_label
_atom_site_type_symbol
_atom_site_fract_x
_atom_site_fract_y
_atom_site_fract_z
Rb1 Rb 0.0000 0.1238 0.2500
Ag1 Ag 0.0000 0.2488 0.7500
Ag2 Ag 0.0000 0.4481 0.2500
Se1 Se 0.2005 0.3886 0.0415
# * distance to the lowest polymorph of the same formula: 16.2 meV/atom
# * crystal system: monoclinic
# * energy relative to the elements, uncorrected: -2.1 eV per formula unit
# * D(E_F): 7.96 states/eV per cell

***

(15)
# Rb12Ag3Se5, relaxed, DFT GGA-PBE
data_Rb12Ag3Se5
_cell_length_a 20.8865
_cell_length_b 20.8865
_cell_length_c 20.8865
_cell_angle_alpha 90.00
_cell_angle_beta 90.00
_cell_angle_gamma 90.00
_symmetry_space_group_name_H-M 'I a -3 d'
_symmetry_Int_Tables_number 230
_symmetry_space_group_name_Hall '-I 4bd 2c 3'
loop_
_atom_site_label
_atom_site_type_symbol
_atom_site_fract_x
_atom_site_fract_y
_atom_site_fract_z
Rb1 Rb 0.0292 0.0603 0.6460
Ag1 Ag 0.0000 0.2500 0.1250
Se1 Se 0.0000 0.0000 0.0000
Se2 Se 0.0000 0.2500 0.3750
# * crystal system: cubic
# * energy relative to the elements, uncorrected: -10.8 eV per formula unit
# * D(E_F): 227.86 states/eV per cell

***

(16)
# RbAg5Se4, relaxed, DFT GGA-PBE
data_RbAg5Se4
_cell_length_a 18.9729
_cell_length_b 4.3145
_cell_length_c 7.1722
_cell_angle_alpha 90.00
_cell_angle_beta 103.37
_cell_angle_gamma 90.00
_symmetry_space_group_name_H-M 'C 1 2/m 1'
_symmetry_Int_Tables_number 12
_symmetry_space_group_name_Hall '-C 2y'
loop_
_atom_site_label
_atom_site_type_symbol
_atom_site_fract_x
_atom_site_fract_y
_atom_site_fract_z
Rb1 Rb 0.0000 0.0000 0.0000
Ag1 Ag 0.0000 0.0000 0.5000
Ag2 Ag 0.1978 0.5000 0.5244
Ag3 Ag 0.2474 0.0000 0.8715
Se1 Se 0.0598 0.5000 0.3886
Se2 Se 0.1851 0.0000 0.2039
# * crystal system: monoclinic
# * energy relative to the elements, uncorrected: -1.9 eV per formula unit
# * D(E_F): 5.04 states/eV per cell

***

(17)
# Rb2SiAg2Se4, relaxed, DFT GGA-PBE
data_Rb2SiAg2Se4
_cell_length_a 12.2382
_cell_length_b 8.0475
_cell_length_c 5.3548
_cell_angle_alpha 90.00
_cell_angle_beta 98.76
_cell_angle_gamma 90.00
_symmetry_space_group_name_H-M 'C 1 2/m 1'
_symmetry_Int_Tables_number 12
_symmetry_space_group_name_Hall '-C 2y'
loop_
_atom_site_label
_atom_site_type_symbol
_atom_site_fract_x
_atom_site_fract_y
_atom_site_fract_z
Rb1 Rb 0.1370 0.0000 0.2625
Si1 Si 0.0000 0.5000 0.5000
Ag1 Ag 0.1162 0.5000 0.1294
Se1 Se 0.1074 0.2851 0.7409
# * crystal system: monoclinic
# * energy relative to the elements, uncorrected: -3.1 eV per formula unit
# * D(E_F): 6.56 states/eV per cell